Entry from Alexandria via LeMat-Bulk: H10PtC4N2Cl6 after structural relaxation (GGA-PBE).

```
23
Lattice="5.166 6.342 0.327 -5.166 6.342 0.327 0.000 4.207 6.238" Properties=species:S:1:pos:R:3 pbc="T T T"
H 2.081 9.931 0.998
H 2.081 6.961 5.893
H -0.954 11.707 2.340
H 1.610 11.349 2.146
H -0.954 5.185 4.552
H -1.713 6.794 4.724
H 3.438 4.896 0.454
H -1.713 10.098 2.168
H 3.438 11.996 6.437
H 1.610 5.542 4.746
Cl 1.420 9.942 5.011
Cl 1.420 6.950 1.881
Cl -1.930 9.911 5.036
Cl -0.234 12.699 5.659
Cl -0.234 4.193 1.233
Cl -1.930 6.981 1.855
C -1.143 6.018 5.253
C -1.143 10.874 1.639
C 1.298 10.535 1.461
C 1.298 6.357 5.431
N 0.092 10.321 1.202
N 0.092 6.571 5.689
Pt -0.243 6.342 0.327
```

Summary:
E_tot = -4.66 eV per atom



Entry from Alexandria via LeMat-Bulk: SnH10C3SN3Cl2 after structural relaxation (GGA-PBE).

```
80
Lattice="6.288 0.000 0.000 0.000 14.052 0.053 0.000 4.700 12.856" Properties=species:S:1:pos:R:3 pbc="T T T"
N 5.810 14.163 4.113
N 2.349 7.801 6.983
N 0.807 7.371 5.338
N 3.939 10.950 5.926
N 5.481 11.380 7.572
N 0.807 4.355 7.545
N 2.349 3.924 5.900
N 5.481 14.397 5.364
N 3.939 14.827 7.010
N 0.478 7.137 4.086
N 5.810 11.614 8.824
N 0.478 4.588 8.797
H 5.558 11.840 2.380
H 4.167 9.366 12.069
H 0.730 4.815 2.354
H 0.075 7.414 6.121
H 5.558 13.937 10.556
H 4.574 12.000 0.870
H 6.212 11.337 6.789
H 3.777 14.240 10.523
H 0.415 8.898 1.159
H 1.714 4.974 0.844
H 3.777 11.538 2.414
H 6.212 14.440 6.148
H 5.772 4.846 8.856
H 1.549 7.851 7.628
H 4.574 13.777 12.066
H 4.167 2.360 0.814
H 5.772 6.880 4.027
H 4.935 2.711 2.420
H 0.075 4.312 6.762
H 2.121 9.386 0.840
H 2.962 14.888 7.354
H 1.353 9.737 2.446
H 2.510 4.512 2.387
H 4.739 10.901 5.281
H 5.873 1.872 1.132
H 4.935 9.014 10.463
H 5.873 9.854 11.751
H 0.730 6.911 10.529
H 1.353 16.040 10.490
H 4.739 14.877 7.655
H 1.549 3.875 5.255
H 3.326 7.862 7.327
H 2.962 10.890 5.582
H 0.516 13.906 4.054
H 0.516 11.871 8.883
H 2.121 16.392 12.096
H 3.326 3.864 5.556
H 0.415 16.880 11.777
H 2.510 7.214 10.496
H 1.714 6.751 12.039
Sn 2.097 4.564 10.539
Sn 4.191 11.590 10.566
Sn 2.097 7.162 2.344
Sn 4.191 14.187 2.371
C 1.408 9.046 1.597
C 2.112 4.127 7.191
C 1.701 5.095 1.932
C 4.587 12.121 1.959
C 4.175 14.624 5.719
C 4.175 11.153 7.218
C 2.112 7.598 5.692
C 1.408 16.732 11.340
C 4.880 9.706 11.313
C 1.701 6.631 10.951
C 4.587 13.657 10.977
C 4.880 2.020 1.570
Cl 0.842 14.712 7.894
Cl 4.463 4.563 11.423
Cl 1.825 11.589 11.450
Cl 5.445 7.687 7.868
Cl 0.842 11.065 5.042
Cl 4.463 7.163 1.460
Cl 1.825 14.188 1.486
Cl 5.445 4.039 5.015
S 3.357 7.599 4.521
S 3.357 4.126 8.362
S 2.931 11.152 8.389
S 2.931 14.625 4.548
```

Summary:
E_tot = -5.11 eV per atom



Entry from Alexandria via LeMat-Bulk: SbH24C6N3Cl6 after structural relaxation (GGA-PBE).

```
80
Lattice="-2.313 7.213 -5.951 -3.306 -4.879 -8.567 -11.501 -0.981 -0.728" Properties=species:S:1:pos:R:3 pbc="T T T"
H -4.443 5.911 -6.724
H -13.558 -2.803 -10.114
H -6.953 2.910 -7.439
H -8.264 -4.015 -8.328
H -5.080 3.642 -8.717
H -2.104 3.808 -4.199
H -3.563 4.155 -5.132
H -11.866 -0.646 -4.625
H -7.989 2.596 -4.465
H -7.788 -1.400 -2.020
H -8.856 5.367 -6.917
H -15.938 1.329 -13.786
H -4.066 2.509 -3.300
H -10.292 0.026 -7.222
H -13.491 0.849 -13.554
H -8.575 1.056 -4.031
H -7.122 -0.257 -1.004
H -10.940 4.534 -6.086
H -6.181 -3.182 -9.160
H -6.285 0.453 -12.493
H -10.836 0.899 -2.753
H -4.817 0.666 -9.505
H -12.678 -4.559 -8.522
H -6.971 2.230 -14.214
H -10.150 -0.879 -1.032
H -10.168 -1.558 -7.807
H -12.041 -2.290 -6.529
H -9.999 1.609 -14.241
H -7.234 2.584 -9.063
H -7.998 2.091 -2.852
H -15.017 -2.456 -11.047
H -9.887 -1.233 -6.183
H -15.141 0.974 -10.598
H -9.123 -0.739 -12.394
H -6.828 1.326 -8.024
H -5.255 1.998 -10.621
H -1.183 0.022 -1.460
H -6.754 -1.231 -10.641
H -8.546 0.296 -11.215
H -13.054 -1.157 -11.946
H -12.304 0.685 -5.740
H -1.980 0.378 -4.647
H -9.132 -1.244 -10.781
H -10.367 2.583 -4.604
H -12.470 -0.961 -7.637
H -9.333 2.752 -13.225
H -4.651 2.313 -7.609
H -3.630 0.503 -1.692
Cl -8.661 -1.178 -4.078
Cl -10.008 -2.976 -9.645
Cl -3.728 -1.766 -6.620
Cl -5.569 1.000 -5.237
Cl -13.392 3.118 -8.625
Cl -11.551 0.352 -10.009
Cl -8.460 2.530 -11.167
Cl -10.029 2.234 -7.378
Cl -4.760 -1.636 -3.154
Cl -7.112 4.328 -5.601
Cl -12.361 2.988 -12.092
Cl -7.092 -0.882 -7.868
C -3.101 4.263 -4.142
C -6.417 -4.244 -9.301
C -15.245 1.593 -14.595
C -12.417 -0.390 -5.541
C -7.222 -1.309 -11.632
C -11.930 -1.216 -6.718
C -5.191 2.568 -8.528
C -1.876 -0.241 -0.651
C -4.704 1.742 -9.704
C -14.020 -2.911 -11.104
C -9.899 2.661 -3.614
C -10.704 5.596 -5.945
N -6.646 2.331 -8.247
N -8.533 2.062 -3.753
N -10.475 -0.979 -6.999
N -8.588 -0.710 -11.493
N -9.712 5.947 -7.012
N -7.409 -4.595 -8.234
Sb -11.265 2.782 -9.792
Sb -5.855 -1.431 -5.453
```

Summary:
E_tot = -4.85 eV per atom



Entry from Alexandria via LeMat-Bulk: Sb2H24C6N3Cl9 after structural relaxation (GGA-PBE).

```
88
Lattice="9.217 0.000 0.000 0.000 9.859 -0.014 0.000 -1.568 14.305" Properties=species:S:1:pos:R:3 pbc="T T T"
H 2.500 0.676 3.569
H 6.695 3.981 4.669
H 8.695 6.891 3.166
H 0.369 3.065 12.828
H 4.687 0.748 4.610
H 2.197 6.218 10.970
H 4.531 -0.036 11.763
H 3.166 -0.857 8.765
H 1.113 0.763 5.497
H 6.869 0.998 13.473
H 4.840 1.679 12.178
H 3.500 7.279 8.394
H 8.431 4.996 7.776
H 0.054 4.158 0.887
H 2.246 4.567 12.947
H 9.163 3.374 8.039
H 1.919 5.543 9.333
H 8.073 8.471 1.456
H 5.944 3.978 6.302
H 7.863 9.121 3.003
H 7.008 1.498 11.138
H 6.495 -0.708 13.057
H 6.718 -0.108 10.722
H 6.052 -0.073 1.612
H 7.911 2.558 6.140
H 0.786 5.780 0.624
H 7.020 7.002 3.817
H 5.478 8.688 2.904
H 7.411 3.602 8.292
H 4.501 1.975 3.301
H 2.348 1.782 6.321
H 1.355 8.337 10.156
H 2.210 2.282 3.985
H 7.298 6.327 2.180
H 2.723 0.076 5.904
H 3.739 7.904 10.057
H 1.306 1.775 13.293
H 5.717 8.063 1.241
H 4.377 2.463 5.026
H 4.717 1.191 10.454
H 1.807 4.386 1.139
H 1.145 7.687 8.609
H 8.848 3.849 5.675
H 6.971 5.351 5.794
H 8.104 -0.021 12.650
H 3.273 3.194 13.454
H 0.522 6.107 10.318
H 2.523 3.197 11.822
Cl 4.614 7.769 5.611
Cl 1.463 -0.247 12.145
Cl 4.603 6.985 12.764
Cl 7.091 7.833 9.626
Cl 5.713 0.943 7.899
Cl 7.754 0.537 4.992
Cl 9.130 0.503 8.311
Cl 8.904 6.486 13.767
Cl 2.126 8.617 2.473
Cl 3.230 4.732 6.703
Cl 8.244 3.448 11.206
Cl 0.088 1.287 1.159
Cl 5.987 3.948 13.855
Cl 3.504 1.727 0.747
Cl 0.974 4.232 4.053
Cl 4.269 5.167 3.242
Cl 0.313 7.270 6.615
Cl 4.948 4.383 10.394
Sb 1.843 9.815 0.097
Sb 7.374 9.032 7.250
Sb 2.725 6.193 4.819
Sb 6.493 5.409 11.972
C 0.942 4.699 0.547
C 4.180 1.668 4.301
C 7.643 7.060 2.918
C 2.395 3.485 12.870
C 1.575 6.276 10.070
C 8.276 3.915 7.699
C 5.037 0.884 11.453
C 6.084 8.767 1.995
C 2.182 0.977 5.597
C 3.133 7.983 9.148
C 7.036 0.193 12.750
C 6.822 4.269 5.717
N 1.194 2.801 13.421
N 7.496 8.421 2.330
N 8.024 3.584 6.268
N 6.505 0.632 11.427
N 2.712 1.416 4.275
N 1.721 7.637 9.482
```

Summary:
E_tot = -4.69 eV per atom



Entry from Alexandria via LeMat-Bulk: SnH6CN3Cl3 after structural relaxation (GGA-PBE).

```
56
Lattice="8.648 0.000 -0.017 0.000 8.170 0.000 -8.589 0.000 14.807" Properties=species:S:1:pos:R:3 pbc="T T T"
Cl -2.111 1.715 13.136
Cl -0.241 2.883 10.164
Cl 0.300 5.287 4.626
Cl -2.125 5.800 9.058
Cl -3.992 2.871 10.171
Cl 0.303 1.214 2.767
Cl 2.184 2.370 5.732
Cl -0.244 6.956 12.023
Cl 2.170 6.455 1.654
Cl 4.050 5.299 4.619
Cl 4.054 1.202 2.761
Cl -3.995 6.969 12.029
H 4.456 2.314 6.418
H 0.145 5.847 8.361
H 1.346 2.290 11.831
H -1.273 1.804 4.441
H -3.327 2.578 7.918
H -5.581 6.375 10.363
H -0.103 6.399 0.968
H -0.087 2.323 6.429
H -4.381 1.762 13.832
H 1.006 5.582 6.877
H -0.909 6.663 14.276
H -1.287 5.881 2.959
H 4.440 6.409 0.958
H 5.627 5.890 2.946
H 0.162 1.772 13.822
H 1.332 6.366 10.349
H 5.640 1.795 4.427
H 3.385 5.593 6.872
H -3.288 6.674 14.281
H -5.568 2.281 11.844
H 3.347 1.496 0.509
H -0.947 2.589 7.913
H -4.398 5.857 8.372
H 0.968 1.507 0.514
Sn -2.117 4.343 11.254
Sn 2.176 3.827 3.536
Sn 2.178 7.913 3.850
Sn -2.119 0.258 10.940
N 6.494 6.041 2.430
N -0.978 2.336 6.925
N -3.298 2.327 6.929
N 5.331 6.421 0.461
N -2.140 1.955 4.956
N -5.273 1.750 14.329
N 7.652 6.412 0.457
N -6.435 2.130 12.360
N 2.199 6.215 9.834
N -7.593 1.758 14.333
N 1.037 5.835 7.865
N 3.357 5.844 7.861
C 2.198 5.956 8.521
C -2.139 2.214 6.269
C 6.492 6.299 1.117
C -6.434 1.871 13.673
```

Summary:
Distance to the lowest polymorph of the same formula = 0.0 meV per atom
E_tot = -5.14 eV per atom



Entry from Alexandria via LeMat-Bulk: SnH12C2N6Cl6 after structural relaxation (GGA-PBE).

```
54
Lattice="-6.154 -3.837 4.864 0.515 0.185 8.715 -9.236 9.205 6.383" Properties=species:S:1:pos:R:3 pbc="T T T"
H -10.739 6.211 16.195
H -7.090 4.959 11.887
H -8.899 -0.067 11.399
H -6.727 -2.230 12.399
H -7.786 0.594 8.075
H -9.145 7.161 13.148
H -7.676 0.704 10.433
H -5.481 -1.491 11.433
H -10.848 6.178 14.460
H -7.087 -2.379 6.043
H -10.270 3.020 16.211
H -4.515 2.599 5.488
H -5.730 -1.608 6.814
H -10.361 2.954 14.474
H -5.775 5.800 12.659
H -8.149 7.783 7.563
H -5.976 5.621 8.563
H -9.394 7.044 8.529
H -9.100 -0.247 7.303
H -7.200 4.850 9.529
H -4.605 2.533 3.751
H -7.788 7.932 13.919
H -4.027 -0.625 5.502
H -4.136 -0.657 3.767
C -5.725 5.808 10.596
C -9.177 7.117 15.208
C -5.698 -1.563 4.754
C -9.150 -0.254 9.366
N -10.744 2.677 15.376
N -6.361 5.427 9.486
N -4.131 2.877 4.586
N -8.679 7.445 14.009
N -8.657 0.071 8.164
N -10.317 6.426 15.293
N -6.219 5.482 11.798
N -9.046 7.300 7.606
N -6.196 -1.892 5.953
N -8.514 0.126 10.476
N -5.830 -1.747 12.356
N -4.558 -0.873 4.669
Cl -9.060 3.785 12.625
Cl -9.829 6.735 10.877
Cl -9.293 3.735 9.132
Cl -3.109 3.376 8.886
Cl -2.592 0.389 7.143
Cl -12.283 5.165 12.819
Cl -12.509 5.095 9.316
Cl -5.046 -1.182 9.085
Cl -2.366 0.458 10.646
Cl -5.583 1.818 10.830
Cl -5.815 1.768 7.337
Cl -11.766 2.177 11.076
Sn -4.091 1.101 8.984
Sn -10.784 4.452 10.978
```

Summary:
E_tot = -5.14 eV per atom



Entry from Alexandria via LeMat-Bulk: SnH6CN3Cl3 after structural relaxation (GGA-PBE).

```
28
Lattice="-4.868 4.477 5.904 -5.698 -2.973 -2.627 0.663 -5.965 5.038" Properties=species:S:1:pos:R:3 pbc="T T T"
H -3.151 -0.919 6.556
H -5.008 3.316 5.708
H -6.231 -2.201 5.441
H -3.504 -6.878 4.133
H -4.980 -2.549 3.274
H -7.749 1.609 4.250
H -3.481 -0.072 0.442
H -3.262 -2.703 3.501
H -0.371 -5.682 5.240
H -6.070 1.911 4.016
H -2.322 -1.063 5.033
H -5.517 -0.968 6.437
Cl -8.586 -0.549 3.420
Cl -1.288 -3.787 2.259
Cl -6.368 -2.778 1.352
Cl -5.299 0.718 2.004
Cl -5.542 -6.444 3.007
Cl -8.312 -3.370 6.127
N -5.430 -1.608 5.648
N -3.137 -1.293 5.605
N -3.349 -0.724 -0.326
N -6.934 2.173 4.483
N -4.170 -2.454 3.888
N -1.043 -0.690 -0.111
C -4.247 -1.780 5.044
C -2.149 -1.234 -0.624
Sn -7.399 -0.391 1.103
Sn -4.884 -5.715 0.587
```

Summary:
Distance to the lowest polymorph of the same formula = 9.9 meV per atom
E_tot = -5.13 eV per atom